Record 1
YIr2 | PBE | relaxed

ρ = 14.47 Mg/m³
Total DFT energy (no corrections) = -8.272 eV per atom

Cell lengths 7.7014, 7.7014, 4.7088 Å; angles 90.00, 90.00, 157.10 degrees
With the nearest neighbours (Å) after each atom.
Positions (direct):
Y (0.0980, 0.9020, 0.7500)  10 Ir 2.83-3.06, 2 Y 3.06
Y (0.9020, 0.0980, 0.2500)  10 Ir 2.83-3.06, 2 Y 3.06
Ir (0.2279, 0.7721, 0.2500)  8 Ir 2.77-3.06, 4 Y 3.04-3.06
Ir (0.4253, 0.5747, 0.7500)  4 Ir 2.77-3.06, 6 Y 2.83-3.02
Ir (0.5747, 0.4253, 0.2500)  4 Ir 2.77-3.06, 6 Y 2.83-3.02
Ir (0.7721, 0.2279, 0.7500)  8 Ir 2.77-3.06, 4 Y 3.04-3.06

Record 2
YIr4 | PBE | relaxed

ρ = 12.53 Mg/m³
Offset from the most stable computed form = 2749 meV per atom

Cell lengths 4.8441, 4.8441, 4.8441 Å; angles 90.00, 90.00, 90.00 degrees
With the nearest neighbours (Å) after each atom.
Positions (direct):
Y (0.0000, 0.0000, 0.0000)  6 Ir 2.42
Ir (0.0000, 0.0000, 0.5000)  2 Y 2.42
Ir (0.0000, 0.5000, 0.0000)  2 Y 2.42
Ir (0.5000, 0.0000, 0.0000)  2 Y 2.42
Ir (0.5000, 0.5000, 0.5000)  12 Ir 3.43

Record 3
Y2Ir | PBE | relaxed

ρ = 9.56 Mg/m³
Total DFT energy (no corrections) = -7.293 eV per atom

Cell lengths 4.8952, 4.8952, 3.0981 Å; angles 90.00, 90.00, 120.00 degrees
With the nearest neighbours (Å) after each atom.
Positions (direct):
Y (0.3333, 0.6667, 0.0000)  5 Y 2.83-3.10
Y (0.6667, 0.3333, 0.0000)  5 Y 2.83-3.10
Ir (0.0000, 0.0000, 0.5000)  2 Ir 3.10, 12 Y 3.22

Record 4
YIr | PBE | relaxed

ρ = 7.65 Mg/m³
Total DFT energy (no corrections) = -7.408 eV per atom

Cell lengths 4.4186, 4.4186, 4.4186 Å; angles 60.00, 60.00, 60.00 degrees
With the nearest neighbours (Å) after each atom.
Positions (direct):
Y (0.0000, 0.0000, 0.0000)  4 Ir 2.71
Ir (0.7500, 0.7500, 0.7500)  4 Y 2.71

Record 5
YIr2 | PBE | relaxed

ρ = 14.85 Mg/m³
Total DFT energy (no corrections) = -7.818 eV per atom

Cell lengths 2.9167, 2.9167, 7.1861 Å; angles 90.00, 90.00, 120.00 degrees
With the nearest neighbours (Å) after each atom.
Positions (direct):
Y (0.0000, 0.0000, 0.0000)  6 Y 2.92, 6 Ir 3.02
Ir (0.3333, 0.6667, 0.6511)  9 Ir 2.75-2.92, 3 Y 3.02
Ir (0.6667, 0.3333, 0.3489)  9 Ir 2.75-2.92, 3 Y 3.02

Record 6
YIr | PBE | relaxed

ρ = 10.18 Mg/m³
Total DFT energy (no corrections) = -7.790 eV per atom

Cell lengths 3.2475, 3.2475, 8.6933 Å; angles 90.00, 90.00, 90.00 degrees
With the nearest neighbours (Å) after each atom.
Positions (direct):
Y (0.2500, 0.2500, 0.2025)  4 Ir 2.85
Y (0.7500, 0.7500, 0.7975)  4 Ir 2.85
Ir (0.2500, 0.2500, 0.6038)  4 Y 2.85, 4 Ir 2.92
Ir (0.7500, 0.7500, 0.3962)  4 Y 2.85, 4 Ir 2.92

Copy entry 4 word for word.
YIr | PBE | relaxed

ρ = 7.65 Mg/m³
Total DFT energy (no corrections) = -7.408 eV per atom

Cell lengths 4.4186, 4.4186, 4.4186 Å; angles 60.00, 60.00, 60.00 degrees
With the nearest neighbours (Å) after each atom.
Positions (direct):
Y (0.0000, 0.0000, 0.0000)  4 Ir 2.71
Ir (0.7500, 0.7500, 0.7500)  4 Y 2.71

Repeat the sixth record exactly.
YIr | PBE | relaxed

ρ = 10.18 Mg/m³
Total DFT energy (no corrections) = -7.790 eV per atom

Cell lengths 3.2475, 3.2475, 8.6933 Å; angles 90.00, 90.00, 90.00 degrees
With the nearest neighbours (Å) after each atom.
Positions (direct):
Y (0.2500, 0.2500, 0.2025)  4 Ir 2.85
Y (0.7500, 0.7500, 0.7975)  4 Ir 2.85
Ir (0.2500, 0.2500, 0.6038)  4 Y 2.85, 4 Ir 2.92
Ir (0.7500, 0.7500, 0.3962)  4 Y 2.85, 4 Ir 2.92